12
Lattice="7.1099 0.0000 0.0000 0.0000 5.4002 0.0000 -1.7832 0.0000 8.5943" Properties=species:S:1:pos:R:3 comment="HoMg | the Open Quantum Materials Database | PBE | optimized geometry" total_energy_ev_per_atom=-3.054 pbc="T T T"
Ho 0.0098 1.3501 0.9937
Ho 1.7534 4.0502 2.0102
Ho 1.7606 4.0502 7.5315
Ho 3.5661 1.3501 1.0629
Ho 3.5733 1.3501 6.5842
Ho 5.3169 4.0502 7.6006
Mg -0.0984 4.0502 4.7450
Mg -0.0201 1.3501 6.7148
Mg 1.6865 1.3501 3.9393
Mg 3.6402 4.0502 4.6551
Mg 5.3469 4.0502 1.8796
Mg 5.4252 1.3501 3.8494


10
Lattice="8.7387 -1.8898 0.0000 8.7387 1.8898 0.0000 -2.1276 0.0000 7.7691" Properties=species:S:1:pos:R:3 comment="Pr2Ho2CBrCl4 | the Open Quantum Materials Database | PBE | optimized geometry" total_energy_ev_per_atom=-5.332 pbc="T T T"
Pr 2.4425 0.0000 0.6899
Pr 12.9073 0.0000 7.0792
Ho 8.3014 0.0000 1.5762
Ho 7.0484 0.0000 6.1929
C 0.0000 0.0000 0.0000
Br -1.0638 0.0000 3.8845
Cl 5.5090 0.0000 1.3701
Cl 4.6063 0.0000 4.9976
Cl 10.7435 0.0000 2.7715
Cl 9.8407 0.0000 6.3990